Entry 1:
This record from Alexandria describes LiMnPd after structural relaxation. The functional is PBE-GGA.

a b c (Å): 2.7768 2.7768 9.9532
angles (deg): 90.00 90.00 90.00
Atoms (fractional coordinates):
1 Li 0.0000 0.0000 0.0000
2 Li 0.0000 0.0000 0.3372
3 Mn 0.0000 0.0000 0.6308
4 Mn 0.5000 0.5000 0.5125
5 Pd 0.5000 0.5000 0.1771
6 Pd 0.5000 0.5000 0.8224

Fermi-level density of states in states/eV/f.u.: 2.32
Energy above the lowest structure with this stoichiometry in eV/f.u.: 0.18

***

Entry 2:
This record from Alexandria describes LiMnPd4 after structural relaxation. The functional is PBE-GGA.

a b c (Å): 10.7842 2.9256 5.7671
angles (deg): 90.00 105.61 90.00
Atoms (fractional coordinates):
1 Li 0.0000 0.0000 0.0000
2 Li 0.5000 0.5000 0.0000
3 Mn 0.0000 0.0000 0.5000
4 Mn 0.5000 0.5000 0.5000
5 Pd 0.1558 0.5000 0.8307
6 Pd 0.1565 0.5000 0.3264
7 Pd 0.3435 0.0000 0.6736
8 Pd 0.3442 0.0000 0.1693
9 Pd 0.6558 0.0000 0.8307
10 Pd 0.6565 0.0000 0.3264
11 Pd 0.8435 0.5000 0.6736
12 Pd 0.8442 0.5000 0.1693

Fermi-level density of states in states/eV/f.u.: 4.69
Energy above the lowest structure with this stoichiometry in eV/f.u.: 0.00

***

Entry 3:
This record from Alexandria describes LiMnPd after structural relaxation. The functional is PBE-GGA.

a b c (Å): 4.5102 4.5102 5.3017
angles (deg): 90.00 90.00 120.00
Atoms (fractional coordinates):
1 Li 0.0000 0.0000 0.0000
2 Li 0.0000 0.0000 0.5000
3 Mn 0.3333 0.6667 0.2500
4 Mn 0.6667 0.3333 0.7500
5 Pd 0.3333 0.6667 0.7500
6 Pd 0.6667 0.3333 0.2500

Fermi-level density of states in states/eV/f.u.: 1.51
Energy above the lowest structure with this stoichiometry in eV/f.u.: 0.05

***

Entry 4:
This record from Alexandria describes LiMnPd after structural relaxation. The functional is PBE-GGA.

a b c (Å): 4.2865 4.2865 5.3615
angles (deg): 90.00 90.00 120.00
Atoms (fractional coordinates):
1 Li 0.3333 0.6667 0.2500
2 Li 0.6667 0.3333 0.7500
3 Mn 0.0000 0.0000 0.0000
4 Mn 0.0000 0.0000 0.5000
5 Pd 0.3333 0.6667 0.7500
6 Pd 0.6667 0.3333 0.2500

Fermi-level density of states in states/eV/f.u.: 1.88
Energy above the lowest structure with this stoichiometry in eV/f.u.: 0.04

***

Entry 5:
This record from Alexandria describes LiMnPd after structural relaxation. The functional is PBE-GGA.

a b c (Å): 7.8942 2.8010 7.5552
angles (deg): 90.00 90.00 90.00
Atoms (fractional coordinates):
1 Li 0.0694 0.2500 0.1551
2 Li 0.4306 0.7500 0.6551
3 Li 0.5694 0.2500 0.3449
4 Li 0.9306 0.7500 0.8449
5 Mn 0.0833 0.2500 0.5487
6 Mn 0.4167 0.7500 0.0487
7 Mn 0.5833 0.2500 0.9513
8 Mn 0.9167 0.7500 0.4513
9 Pd 0.2197 0.2500 0.8463
10 Pd 0.2803 0.7500 0.3463
11 Pd 0.7197 0.2500 0.6537
12 Pd 0.7803 0.7500 0.1537

Fermi-level density of states in states/eV/f.u.: 2.85
Energy above the lowest structure with this stoichiometry in eV/f.u.: 0.38

***

Entry 6:
This record from Alexandria describes LiMnPd after structural relaxation. The functional is PBE-GGA.

a b c (Å): 4.7226 13.8816 2.7616
angles (deg): 90.00 90.00 90.00
Atoms (fractional coordinates):
1 Li 0.0000 0.1113 0.2500
2 Li 0.0000 0.8887 0.7500
3 Li 0.5000 0.3887 0.7500
4 Li 0.5000 0.6113 0.2500
5 Mn 0.0000 0.4460 0.7500
6 Mn 0.0000 0.5540 0.2500
7 Mn 0.5000 0.0540 0.2500
8 Mn 0.5000 0.9460 0.7500
9 Pd 0.0000 0.2929 0.2500
10 Pd 0.0000 0.7071 0.7500
11 Pd 0.5000 0.2071 0.7500
12 Pd 0.5000 0.7929 0.2500

Fermi-level density of states in states/eV/f.u.: 1.65
Energy above the lowest structure with this stoichiometry in eV/f.u.: 1.21

***

Entry 7:
This record from Alexandria describes LiMnPd after structural relaxation. The functional is PBE-GGA.

a b c (Å): 12.7122 12.7122 12.7122
angles (deg): 12.16 12.16 12.16
Atoms (fractional coordinates):
1 Li 0.0000 0.0000 0.0000
2 Li 0.4461 0.4461 0.4461
3 Mn 0.2720 0.2720 0.2720
4 Mn 0.8944 0.8944 0.8944
5 Pd 0.1693 0.1693 0.1693
6 Pd 0.7226 0.7226 0.7226

Fermi-level density of states in states/eV/f.u.: 2.54
Energy above the lowest structure with this stoichiometry in eV/f.u.: 0.20

***

Entry 8:
This record from Alexandria describes Li2Mn2Pd7 after structural relaxation. The functional is PBE-GGA.

a b c (Å): 5.3737 5.3737 7.0800
angles (deg): 90.00 90.00 119.54
Atoms (fractional coordinates):
1 Li 0.2299 0.2299 0.0000
2 Li 0.7701 0.7701 0.0000
3 Mn 0.2764 0.7236 0.5000
4 Mn 0.7236 0.2764 0.5000
5 Pd 0.0000 0.0000 0.5000
6 Pd 0.0000 0.5000 0.1911
7 Pd 0.0000 0.5000 0.8089
8 Pd 0.5000 0.0000 0.1911
9 Pd 0.5000 0.0000 0.8089
10 Pd 0.5000 0.5000 0.2963
11 Pd 0.5000 0.5000 0.7037

E_tot in eV for the cell shown: -58.8
Fermi-level density of states in states/eV/f.u.: 6.36

***

> The highest Fermi-level density of states belongs to which entry?

Li2Mn2Pd7